# 1
Compound: Sr3Sm
Source: the Alexandria database
Functional: PBE
Structure: optimized geometry

Total magnetic moment ... 1.5 μB/cell
Formation energy from the elements ... 163 meV per atom
ΔE to the lowest computed polymorph ... 0.000 eV/atom
ρ ... 3.653 g/cm3
D(E_F) ... 1.804 states/eV per atom

CIF file:
```
data_Sr3Sm
_space_group_name_H-M_alt 'I m m 2'
_space_group_IT_number 44
_space_group_name_Hall 'I 2 -2'
_cell_length_a 4.024
_cell_length_b 13.315
_cell_length_c 7.012
_cell_angle_alpha 90.00
_cell_angle_beta 90.00
_cell_angle_gamma 90.00
loop_
_atom_site_label
_atom_site_type_symbol
_atom_site_fract_x
_atom_site_fract_y
_atom_site_fract_z
Sr1 Sr 0.000 0.000 0.000
Sr2 Sr 0.000 0.242 0.656
Sm1 Sm 0.000 0.500 0.998
```

=====

# 2
Compound: HfBeNb2Tc
Source: the Alexandria database
Functional: PBE
Structure: optimized geometry

Total magnetic moment ... 0.0 μB/cell
Formation energy from the elements ... 1943 meV per atom
ρ ... 6.974 g/cm3
D(E_F) ... 0.895 states/eV per atom

CIF file:
```
data_HfBeNb2Tc
_space_group_name_H-M_alt 'P 4/m m m'
_space_group_IT_number 123
_space_group_name_Hall '-P 4 2'
_cell_length_a 4.927
_cell_length_b 4.927
_cell_length_c 4.623
_cell_angle_alpha 90.00
_cell_angle_beta 90.00
_cell_angle_gamma 90.00
loop_
_atom_site_label
_atom_site_type_symbol
_atom_site_fract_x
_atom_site_fract_y
_atom_site_fract_z
Hf1 Hf 0.000 0.000 0.000
Be1 Be 0.500 0.500 0.500
Nb1 Nb 0.000 0.500 0.000
Tc1 Tc 0.000 0.000 0.500
```